Record 1
Material: Zr3PtPb
Method: DFT, GGA-PBE
State: relaxed

Cell and atoms, written as POSCAR:
```
Zr3PtPb
1.0
5.282 0.000 0.000
0.000 5.282 0.000
0.000 0.000 5.282
Pb Zr Pt
1 3 1
Cartesian
0.000 0.000 0.000 Pb
0.000 2.641 0.000 Zr
0.000 0.000 2.641 Zr
2.641 0.000 0.000 Zr
2.641 2.641 2.641 Pt
```

Results
For the total DFT energy (no corrections), the calculation gives -0.4260 Ry per atom. As for the formation energy from the elements: 1.28 eV per atom. The excess energy over the best structure of this formula in the dataset is 30.05 kcal/mol of atoms.

Record 2
Material: ZrPtPb2
Method: DFT, GGA-PBE
State: relaxed

Cell and atoms, written as POSCAR:
```
ZrPtPb2
1.0
3.478 0.000 0.000
0.000 3.478 0.000
0.000 0.000 7.423
Pb Pt Zr
2 1 1
Cartesian
0.000 0.000 0.179 Pb
0.000 0.000 3.532 Pb
1.739 1.739 1.856 Pt
1.739 1.739 5.567 Zr
```

Results
For the total DFT energy (no corrections), the calculation gives -0.4025 Ry per atom. As for the formation energy from the elements: 0.03 eV per atom. The excess energy over the best structure of this formula in the dataset is 9.28 kcal/mol of atoms.

Record 3
Material: ZrPt2Pb
Method: DFT, GGA-PBE
State: relaxed

Cell and atoms, written as POSCAR:
```
ZrPt2Pb
1.0
-3.390 1.136 0.189
-1.115 -3.382 0.340
0.510 0.468 6.333
Pb Pt Zr
1 2 1
Cartesian
-1.850 -0.753 5.262 Pb
0.006 0.006 0.080 Pt
-2.120 -1.001 1.912 Pt
0.223 0.205 2.775 Zr
```

Results
For the total DFT energy (no corrections), the calculation gives -0.4796 Ry per atom. As for the formation energy from the elements: -0.44 eV per atom.

Record 4
Material: ZrPtPb2
Method: DFT, GGA-PBE
State: relaxed

Cell and atoms, written as POSCAR:
```
ZrPtPb2
1.0
4.534 0.000 0.000
0.000 3.372 -0.013
0.000 0.626 6.029
Pb Pt Zr
2 1 1
Cartesian
0.000 0.259 0.045 Pb
0.000 1.740 2.962 Pb
2.267 1.000 1.504 Pt
2.267 2.999 4.512 Zr
```

Results
For the total DFT energy (no corrections), the calculation gives -0.4082 Ry per atom. As for the formation energy from the elements: -0.05 eV per atom. The excess energy over the best structure of this formula in the dataset is 7.50 kcal/mol of atoms.

Record 5
Material: ZrPt2Pb
Method: DFT, GGA-PBE
State: relaxed

Cell and atoms, written as POSCAR:
```
ZrPt2Pb
1.0
-1.692 0.620 -4.009
-0.031 -3.522 -0.532
-4.826 -2.005 1.726
Pb Pt Zr
1 2 1
Cartesian
-4.878 -4.071 -0.980 Pb
-4.648 -2.657 1.551 Pt
-2.296 -0.425 -1.506 Pt
-1.979 -2.522 0.445 Zr
```

Results
For the total DFT energy (no corrections), the calculation gives -0.4858 Ry per atom. As for the formation energy from the elements: -0.53 eV per atom.

Record 6
Material: Zr3PtPb
Method: DFT, GGA-PBE
State: relaxed

Cell and atoms, written as POSCAR:
```
Zr3PtPb
1.0
-3.018 3.967 1.195
-1.681 -2.523 4.133
3.787 2.041 2.786
Pb Zr Pt
1 3 1
Cartesian
-0.456 1.743 4.057 Pb
-0.840 -1.262 2.066 Zr
1.893 1.021 1.393 Zr
-1.509 1.983 0.597 Zr
0.000 0.000 0.000 Pt
```

Results
For the total DFT energy (no corrections), the calculation gives -0.5217 Ry per atom. As for the formation energy from the elements: -0.02 eV per atom. The excess energy over the best structure of this formula in the dataset is 0.00 kcal/mol of atoms.

Record 7
Material: ZrPt4Pb
Method: DFT, GGA-PBE
State: relaxed

Cell and atoms, written as POSCAR:
```
ZrPt4Pb
1.0
0.574 -5.173 -1.398
-3.744 -2.400 -3.044
1.111 -1.303 -5.110
Zr Pt Pb
1 4 1
Cartesian
-1.544 -6.657 -7.163 Zr
-0.487 -5.907 -4.283 Pt
-0.221 -3.982 -6.130 Pt
-2.636 -4.528 -5.102 Pt
-0.773 -3.334 -3.588 Pt
0.000 0.000 0.000 Pb
```

Results
For the total DFT energy (no corrections), the calculation gives -0.4799 Ry per atom. As for the formation energy from the elements: -0.46 eV per atom.

Record 8
Material: ZrPtPb
Method: DFT, GGA-PBE
State: relaxed

Cell and atoms, written as POSCAR:
```
ZrPtPb
1.0
3.673 0.000 0.000
-1.837 3.181 0.000
0.000 0.000 6.261
Pb Pt Zr
1 1 1
Cartesian
0.000 0.000 0.110 Pb
1.837 1.060 2.309 Pt
0.000 2.121 3.843 Zr
```

Results
For the total DFT energy (no corrections), the calculation gives -0.4735 Ry per atom. As for the formation energy from the elements: -0.34 eV per atom.

Record 9
Material: Zr2PtPb2
Method: DFT, GGA-PBE
State: relaxed

Cell and atoms, written as POSCAR:
```
Zr2PtPb2
1.0
4.062 0.000 0.000
0.000 4.062 0.000
2.031 2.031 7.545
Pb Zr Pt
2 2 1
Cartesian
4.062 2.031 3.772 Pb
2.031 4.062 3.772 Pb
2.031 2.031 1.346 Zr
4.062 4.062 6.198 Zr
0.000 0.000 0.000 Pt
```

Results
For the total DFT energy (no corrections), the calculation gives -0.4289 Ry per atom. As for the formation energy from the elements: 0.27 eV per atom. The excess energy over the best structure of this formula in the dataset is 10.34 kcal/mol of atoms.

Record 10
Material: ZrPtPb2
Method: DFT, GGA-PBE
State: relaxed

Cell and atoms, written as POSCAR:
```
ZrPtPb2
1.0
-0.441 -2.577 2.191
0.043 -2.233 -2.618
8.415 -3.001 -1.834
Pb Pt Zr
2 1 1
Cartesian
8.119 -2.975 -1.863 Pb
2.273 -2.633 0.016 Pb
4.574 -2.648 -2.193 Pt
5.697 -5.173 -2.281 Zr
```

Results
For the total DFT energy (no corrections), the calculation gives -0.4321 Ry per atom. As for the formation energy from the elements: -0.38 eV per atom. The excess energy over the best structure of this formula in the dataset is 0.00 kcal/mol of atoms.

Record 11
Material: ZrPtPb2
Method: DFT, GGA-PBE
State: relaxed

Cell and atoms, written as POSCAR:
```
ZrPtPb2
1.0
6.188 0.001 0.006
3.068 5.374 -0.006
-4.043 -3.694 2.880
Pb Pt Zr
2 1 1
Cartesian
0.099 0.057 0.000 Pb
3.144 -0.643 1.443 Pb
4.426 2.571 0.000 Pt
2.171 2.384 1.437 Zr
```

Results
For the total DFT energy (no corrections), the calculation gives -0.4185 Ry per atom. As for the formation energy from the elements: -0.19 eV per atom. The excess energy over the best structure of this formula in the dataset is 4.25 kcal/mol of atoms.

Record 12
Material: ZrPtPb
Method: DFT, GGA-PBE
State: relaxed

Cell and atoms, written as POSCAR:
```
ZrPtPb
1.0
6.295 0.010 -0.010
5.369 3.288 -0.014
0.927 0.265 3.267
Pb Pt Zr
1 1 1
Cartesian
11.584 3.275 0.000 Pb
4.258 1.206 2.246 Pt
8.413 2.379 0.972 Zr
```

Results
For the total DFT energy (no corrections), the calculation gives -0.4844 Ry per atom. As for the formation energy from the elements: -0.49 eV per atom.

Record 13
Material: Zr2PtPb2
Method: DFT, GGA-PBE
State: relaxed

Cell and atoms, written as POSCAR:
```
Zr2PtPb2
1.0
7.116 0.000 0.000
0.000 7.116 0.000
0.000 0.000 4.831
Pb Zr Pt
4 4 2
Cartesian
1.141 4.699 2.415 Pb
4.699 5.974 2.415 Pb
5.974 2.416 2.415 Pb
2.416 1.141 2.415 Pb
2.432 5.990 0.000 Zr
5.990 4.683 0.000 Zr
4.683 1.126 0.000 Zr
1.126 2.432 0.000 Zr
0.000 0.000 0.000 Pt
3.558 3.558 0.000 Pt
```

Results
For the total DFT energy (no corrections), the calculation gives -0.4619 Ry per atom. As for the formation energy from the elements: -0.17 eV per atom. The excess energy over the best structure of this formula in the dataset is 0.00 kcal/mol of atoms.

Record 14
Material: ZrPt2Pb
Method: DFT, GGA-PBE
State: relaxed

Cell and atoms, written as POSCAR:
```
ZrPt2Pb
1.0
4.783 -0.004 0.005
3.454 3.309 0.005
1.172 0.470 5.262
Pb Pt Zr
1 2 1
Cartesian
2.352 0.944 1.318 Pb
1.264 0.507 4.993 Pt
4.612 1.850 2.904 Pt
7.056 2.831 3.953 Zr
```

Results
For the total DFT energy (no corrections), the calculation gives -0.4805 Ry per atom. As for the formation energy from the elements: -0.45 eV per atom.

Record 15
Material: ZrPtPb3
Method: DFT, GGA-PBE
State: relaxed

Cell and atoms, written as POSCAR:
```
ZrPtPb3
1.0
-4.441 1.226 3.155
0.679 -4.776 2.811
3.316 2.619 3.650
Pb Zr Pt
3 1 1
Cartesian
0.339 -2.388 1.406 Pb
1.658 1.310 1.825 Pb
-2.220 0.613 1.577 Pb
0.000 0.000 0.000 Zr
-0.223 -0.465 4.808 Pt
```

Results
For the total DFT energy (no corrections), the calculation gives -0.3112 Ry per atom. As for the formation energy from the elements: 0.91 eV per atom. The excess energy over the best structure of this formula in the dataset is 7.78 kcal/mol of atoms.

Record 16
Material: ZrPtPb2
Method: DFT, GGA-PBE
State: relaxed

Cell and atoms, written as POSCAR:
```
ZrPtPb2
1.0
-0.630 -4.460 -1.140
-0.764 -1.033 4.465
-4.014 0.701 -0.524
Pb Pt Zr
2 1 1
Cartesian
0.000 0.000 0.000 Pb
-0.697 -2.746 1.662 Pb
-2.322 -1.879 -0.832 Pt
-2.389 -0.166 1.970 Zr
```

Results
For the total DFT energy (no corrections), the calculation gives -0.4154 Ry per atom. As for the formation energy from the elements: -0.15 eV per atom. The excess energy over the best structure of this formula in the dataset is 5.23 kcal/mol of atoms.

Record 17
Material: ZrPt2Pb2
Method: DFT, GGA-PBE
State: relaxed

Cell and atoms, written as POSCAR:
```
ZrPt2Pb2
1.0
7.078 0.000 0.000
0.000 7.078 0.000
0.000 0.000 4.526
Pb Zr Pt
4 2 4
Cartesian
1.253 4.792 2.263 Pb
4.792 5.824 2.263 Pb
5.824 2.286 2.263 Pb
2.286 1.253 2.263 Pb
0.000 0.000 0.000 Zr
3.539 3.539 0.000 Zr
2.584 6.123 0.000 Pt
6.123 4.494 0.000 Pt
4.494 0.955 0.000 Pt
0.955 2.584 0.000 Pt
```

Results
For the total DFT energy (no corrections), the calculation gives -0.4322 Ry per atom. As for the formation energy from the elements: -0.27 eV per atom.

Record 18
Material: ZrPtPb3
Method: DFT, GGA-PBE
State: relaxed

Cell and atoms, written as POSCAR:
```
ZrPtPb3
1.0
-0.199 3.078 4.385
1.675 -4.132 2.977
5.089 1.480 -0.809
Pb Zr Pt
3 1 1
Cartesian
0.837 -2.066 1.489 Pb
2.545 0.740 -0.404 Pb
-0.099 1.539 2.192 Pb
3.283 0.213 3.277 Zr
0.000 0.000 0.000 Pt
```

Results
For the total DFT energy (no corrections), the calculation gives -0.3360 Ry per atom. As for the formation energy from the elements: 0.57 eV per atom. The excess energy over the best structure of this formula in the dataset is 0.00 kcal/mol of atoms.

Record 19
Material: ZrPtPb2
Method: DFT, GGA-PBE
State: relaxed

Cell and atoms, written as POSCAR:
```
ZrPtPb2
1.0
-0.905 2.664 -9.404
0.550 -0.297 -9.796
-2.746 -0.102 -9.423
Pb Pt Zr
2 1 1
Cartesian
-3.076 2.248 -28.398 Pb
-1.575 1.151 -14.537 Pb
-0.775 0.566 -7.156 Pt
-2.326 1.699 -21.468 Zr
```

Results
For the total DFT energy (no corrections), the calculation gives -0.3987 Ry per atom. As for the formation energy from the elements: 0.08 eV per atom. The excess energy over the best structure of this formula in the dataset is 10.47 kcal/mol of atoms.

Record 20
Material: ZrPt3Pb
Method: DFT, GGA-PBE
State: relaxed

Cell and atoms, written as POSCAR:
```
ZrPt3Pb
1.0
5.035 0.000 0.000
0.000 5.035 0.000
0.000 0.000 5.035
Pb Zr Pt
1 1 3
Cartesian
2.518 2.518 2.518 Pb
0.000 0.000 0.000 Zr
0.000 2.518 0.000 Pt
0.000 0.000 2.518 Pt
2.518 0.000 0.000 Pt
```

Results
For the total DFT energy (no corrections), the calculation gives -0.4198 Ry per atom. As for the formation energy from the elements: 0.36 eV per atom. The excess energy over the best structure of this formula in the dataset is 0.00 kcal/mol of atoms.